(1)
Mg2Be2V: optimized geometry, GGA-PBE.

Unit cell a=7.038 b=7.038 c=2.890 alpha=90.00 beta=90.00 gamma=90.00
Fractional positions:
Mg: 0.181 0.319 0.000
Mg: 0.319 0.819 0.000
Mg: 0.681 0.181 0.000
Mg: 0.819 0.681 0.000
Be: 0.114 0.614 0.500
Be: 0.386 0.114 0.500
Be: 0.614 0.886 0.500
Be: 0.886 0.386 0.500
V: 0.000 0.000 0.500
V: 0.500 0.500 0.500

The formation energy from the elements is 432 meV per atom. Its symmetry is P4/mbm. As for the total DFT energy (no corrections): -35.2 eV per cell.

=====

(2)
NaSi4Pd2: optimized geometry, GGA-PBE.

Unit cell a=7.121 b=7.121 c=7.121 alpha=140.86 beta=140.86 gamma=56.55
Fractional positions:
Na: 0.000 0.000 0.000
Si: 0.000 0.500 0.500
Si: 0.212 0.212 0.000
Si: 0.500 0.000 0.500
Si: 0.788 0.788 0.000
Pd: 0.394 0.394 0.000
Pd: 0.606 0.606 0.000

Its symmetry is I4/mmm. As for the total DFT energy (no corrections): -27.6 eV per cell.

=====

(3)
Ge5Pd12Se2: optimized geometry, GGA-PBE.

Unit cell a=7.761 b=7.761 c=8.461 alpha=105.65 beta=105.65 gamma=42.30
Fractional positions:
Ge: 0.000 0.000 0.000
Ge: 0.318 0.318 0.156
Ge: 0.339 0.339 0.660
Ge: 0.661 0.661 0.340
Ge: 0.682 0.682 0.844
Pd: 0.060 0.561 0.398
Pd: 0.073 0.073 0.771
Pd: 0.087 0.589 0.918
Pd: 0.411 0.913 0.082
Pd: 0.439 0.940 0.602
Pd: 0.495 0.495 0.160
Pd: 0.505 0.505 0.840
Pd: 0.561 0.060 0.398
Pd: 0.589 0.087 0.918
Pd: 0.913 0.411 0.082
Pd: 0.927 0.927 0.229
Pd: 0.940 0.439 0.602
Se: 0.253 0.747 0.500
Se: 0.747 0.253 0.500

Its symmetry is C2/m. As for the total DFT energy (no corrections): -98.3 eV per cell.

=====

(4)
La3Ho13: optimized geometry, GGA-PBE.

Unit cell a=10.098 b=7.129 c=7.129 alpha=89.67 beta=90.00 gamma=90.00
Fractional positions:
La: 0.000 0.000 0.000
La: 0.250 0.254 0.254
La: 0.750 0.254 0.254
Ho: 0.000 0.001 0.505
Ho: 0.000 0.505 0.001
Ho: 0.000 0.506 0.506
Ho: 0.252 0.254 0.753
Ho: 0.252 0.753 0.254
Ho: 0.253 0.751 0.751
Ho: 0.500 0.001 0.001
Ho: 0.500 0.001 0.506
Ho: 0.500 0.506 0.001
Ho: 0.500 0.507 0.507
Ho: 0.747 0.751 0.751
Ho: 0.748 0.254 0.753
Ho: 0.748 0.753 0.254

The formation energy from the elements is 25 meV per atom. Its symmetry is Amm2. As for the total DFT energy (no corrections): -73.9 eV per cell.

=====

(5)
YNiRh2: optimized geometry, GGA-PBE.

Unit cell a=5.223 b=5.223 c=5.223 alpha=48.41 beta=48.41 gamma=48.41
Fractional positions:
Y: 0.000 0.000 0.000
Ni: 0.500 0.500 0.500
Rh: 0.202 0.202 0.202
Rh: 0.798 0.798 0.798

The formation energy from the elements is -310 meV per atom. Its symmetry is R-3m. As for the total DFT energy (no corrections): -28.2 eV per cell.

=====

(6)
Mn2ZnB2: optimized geometry, GGA-PBE.

Unit cell a=5.554 b=5.554 c=2.886 alpha=90.00 beta=90.00 gamma=90.00
Fractional positions:
Mn: 0.169 0.331 0.000
Mn: 0.331 0.831 0.000
Mn: 0.669 0.169 0.000
Mn: 0.831 0.669 0.000
Zn: 0.000 0.000 0.500
Zn: 0.500 0.500 0.500
B: 0.114 0.614 0.500
B: 0.386 0.114 0.500
B: 0.614 0.886 0.500
B: 0.886 0.386 0.500

The formation energy from the elements is -202 meV per atom. Its symmetry is P4/mbm. As for the total DFT energy (no corrections): -68.0 eV per cell.

=====

(7)
NaOs3Br: optimized geometry, GGA-PBE.

Unit cell a=4.606 b=4.606 c=4.606 alpha=90.00 beta=90.00 gamma=90.00
Fractional positions:
Na: 0.000 0.000 0.000
Os: 0.000 0.500 0.500
Os: 0.500 0.000 0.500
Os: 0.500 0.500 0.000
Br: 0.500 0.500 0.500

Its symmetry is Pm-3m. As for the total DFT energy (no corrections): -25.2 eV per cell.

=====

(8)
Ho2TlH: optimized geometry, GGA-PBE.

Unit cell a=3.377 b=3.377 c=7.542 alpha=90.00 beta=90.00 gamma=90.00
Fractional positions:
Ho: 0.000 0.000 0.209
Ho: 0.000 0.000 0.791
Tl: 0.500 0.500 0.500
H: 0.500 0.500 0.000

Its symmetry is P4/mmm. As for the total DFT energy (no corrections): -14.8 eV per cell.

=====

(9)
Mg2TiTl: optimized geometry, GGA-PBE.

Unit cell a=6.342 b=6.342 c=6.342 alpha=102.29 beta=102.29 gamma=125.05
Fractional positions:
Mg: 0.117 0.625 0.992
Mg: 0.375 0.367 0.492
Mg: 0.633 0.125 0.008
Mg: 0.875 0.883 0.508
Ti: 0.250 0.750 0.500
Ti: 0.500 0.500 0.000
Tl: 0.000 0.000 0.000
Tl: 0.750 0.250 0.500

The formation energy from the elements is 398 meV per atom. Its symmetry is I-42d. As for the total DFT energy (no corrections): -23.7 eV per cell.

=====

(10)
Tb5HoErIn2: optimized geometry, GGA-PBE.

Unit cell a=11.038 b=11.038 c=11.038 alpha=139.39 beta=139.39 gamma=58.78
Fractional positions:
Tb: 0.000 0.000 0.000
Tb: 0.076 0.576 0.904
Tb: 0.172 0.076 0.500
Tb: 0.328 0.828 0.904
Tb: 0.424 0.328 0.500
Tb: 0.500 0.500 0.000
Tb: 0.576 0.672 0.500
Tb: 0.672 0.172 0.096
Tb: 0.828 0.924 0.500
Tb: 0.924 0.424 0.096
Ho: 0.250 0.250 0.000
Ho: 0.750 0.750 0.000
Er: 0.250 0.750 0.500
Er: 0.750 0.250 0.500
In: 0.123 0.377 0.500
In: 0.377 0.877 0.254
In: 0.623 0.123 0.746
In: 0.877 0.623 0.500

The formation energy from the elements is -1 meV per atom. Its symmetry is I4/mcm. As for the total DFT energy (no corrections): -75.5 eV per cell.